A geometry-optimized CaCuF4 structure, computed with GGA-PBE.

Computed properties:
magnetic moment: 0.95 μB per formula unit
calculated volume: 13.0 A^3/atom
energy relative to the elements, uncorrected: -2.750 eV per atom
electronic total energy: -5.01 eV/atom

a = 6.4838 Å, b = 6.4838 Å, c = 6.4838 Å
α = 129.99°, β = 129.99°, γ = 73.42°
Fractional positions:
Ca: 0.2500 0.2500 0.0000
Ca: 0.7500 0.7500 0.0000
Cu: 0.0000 0.5000 0.5000
Cu: 0.5000 0.0000 0.5000
F: 0.0489 0.5489 0.8550
F: 0.1939 0.0489 0.5000
F: 0.3061 0.8061 0.8550
F: 0.4511 0.3061 0.5000
F: 0.5489 0.6939 0.5000
F: 0.6939 0.1939 0.1450
F: 0.8061 0.9511 0.5000
F: 0.9511 0.4511 0.1450